Record 1
Computed, not measured: CsCa2Ir after structural relaxation at the PBE level of DFT.

Energy above the lowest structure with this stoichiometry   0.52 eV per formula unit
Uncorrected energy   -3.0521 eV per atom
Total moment   0.000 μB/f.u.
Calculated formation energy   0.3774 eV per atom

Cell lengths 7.7159, 7.7159, 7.7159 Å; angles 90.00, 90.00, 90.00 degrees
Space group Fm-3m (No. 225)
Inequivalent atoms, fractional coordinates:
Cs 0.0000 0.0000 0.0000
Ca 0.2500 0.2500 0.2500
Ir 0.0000 0.0000 0.5000

Record 2
Computed, not measured: CsCa3Ir after structural relaxation at the PBE level of DFT.

Energy above the lowest structure with this stoichiometry   9.07 eV per formula unit
Uncorrected energy   -1.3906 eV per atom
Total moment   0.003 μB/f.u.
Calculated formation energy   1.7533 eV per atom

Cell lengths 5.5518, 5.5518, 5.5518 Å; angles 90.00, 90.00, 90.00 degrees
Space group Pm-3m (No. 221)
Inequivalent atoms, fractional coordinates:
Cs 0.0000 0.0000 0.0000
Ca 0.0000 0.0000 0.5000
Ir 0.5000 0.5000 0.5000

- Which value of total moment does entry 1 give?
  0.000 μB/f.u.

- uncorrected energy of number 1 (CsCa2Ir)?
  -3.0521 eV per atom

- Among the records above, which one has the lowest energy above the lowest structure with this stoichiometry?
  CsCa2Ir